Entry 1:
Computed, not measured: a relaxed structure of Sb2TeP at the PBE level of DFT. Values from VASP.

Calculated values
Calculated volume   24.8 Å³ per atom
Excess energy over the best structure of this formula in the dataset   331 meV per atom
VASP energy   -3.77 eV/atom
Space group   No. 35
Mass density   6.73 g/cm³
Spin magnetization   0.0000 μB per atom

Quantum ESPRESSO input file:
```
&SYSTEM
  ibrav = 0, nat = 4, ntyp = 3
/
ATOMIC_SPECIES
Sb 121.76 Sb.upf
Te 127.60 Te.upf
P 30.97 P.upf
ATOMIC_POSITIONS angstrom
Sb 0.000 0.000 0.386
Sb 1.824 0.000 7.545
Te 0.000 0.000 4.756
P 1.824 0.000 2.391
CELL_PARAMETERS angstrom
1.824 -2.706 0.000
1.824 2.706 0.000
0.000 0.000 10.052
```

Entry 2:
Computed, not measured: a relaxed structure of SbTeP at the PBE level of DFT. Values from VASP.

Calculated values
Calculated volume   25.0 Å³ per atom
Excess energy over the best structure of this formula in the dataset   351 meV per atom
VASP energy   -3.77 eV/atom
Space group   No. 42
Mass density   6.22 g/cm³
Spin magnetization   0.0000 μB per atom

Quantum ESPRESSO input file:
```
&SYSTEM
  ibrav = 0, nat = 3, ntyp = 3
/
ATOMIC_SPECIES
Sb 121.76 Sb.upf
Te 127.60 Te.upf
P 30.97 P.upf
ATOMIC_POSITIONS angstrom
Sb 2.736 -2.144 9.477
Te 1.778 -2.618 5.221
P 0.700 -3.152 0.425
CELL_PARAMETERS angstrom
3.531 -1.005 7.025
0.381 -0.556 7.683
0.651 -3.177 0.208
```

Entry 3:
Computed, not measured: a relaxed structure of Sb2TeP at the PBE level of DFT. Values from VASP.

Calculated values
Calculated volume   24.5 Å³ per atom
Excess energy over the best structure of this formula in the dataset   378 meV per atom
VASP energy   -3.73 eV/atom
Space group   No. 47
Mass density   6.81 g/cm³
Spin magnetization   0.0000 μB per atom

Quantum ESPRESSO input file:
```
&SYSTEM
  ibrav = 0, nat = 4, ntyp = 3
/
ATOMIC_SPECIES
Sb 121.76 Sb.upf
Te 127.60 Te.upf
P 30.97 P.upf
ATOMIC_POSITIONS angstrom
Sb 0.000 0.000 0.000
Sb 1.679 0.544 2.627
Te -0.291 -2.476 1.965
P 2.759 -2.086 1.215
CELL_PARAMETERS angstrom
-1.370 0.154 3.376
0.789 -5.106 0.553
4.729 0.934 1.877
```

Entry 4:
Computed, not measured: a relaxed structure of Sb2TeP2 at the PBE level of DFT. Values from VASP.

Calculated values
Calculated volume   24.4 Å³ per atom
Excess energy over the best structure of this formula in the dataset   52 meV per atom
VASP energy   -4.07 eV/atom
Space group   No. 127
Mass density   5.90 g/cm³
Spin magnetization   0.0000 μB per atom

Quantum ESPRESSO input file:
```
&SYSTEM
  ibrav = 0, nat = 10, ntyp = 3
/
ATOMIC_SPECIES
Sb 121.76 Sb.upf
Te 127.60 Te.upf
P 30.97 P.upf
ATOMIC_POSITIONS angstrom
Sb 1.300 5.333 1.875
Sb 5.333 6.765 1.875
Sb 6.765 2.732 1.875
Sb 2.732 1.300 1.875
Te 0.000 0.000 0.000
Te 4.033 4.033 0.000
P 2.579 6.611 0.000
P 6.611 5.487 0.000
P 5.487 1.454 0.000
P 1.454 2.579 0.000
CELL_PARAMETERS angstrom
8.065 0.000 0.000
0.000 8.065 0.000
0.000 0.000 3.750
```

Entry 5:
Computed, not measured: a relaxed structure of SbTeP at the PBE level of DFT. Values from VASP.

Calculated values
Calculated volume   25.7 Å³ per atom
Excess energy over the best structure of this formula in the dataset   109 meV per atom
VASP energy   -4.01 eV/atom
Space group   No. 62
Mass density   6.05 g/cm³
Spin magnetization   0.0000 μB per atom

Quantum ESPRESSO input file:
```
&SYSTEM
  ibrav = 0, nat = 12, ntyp = 3
/
ATOMIC_SPECIES
Sb 121.76 Sb.upf
Te 127.60 Te.upf
P 30.97 P.upf
ATOMIC_POSITIONS angstrom
Sb -4.021 4.304 8.480
Sb -5.214 11.529 13.487
Sb -1.344 4.841 7.251
Sb -0.151 -2.384 2.244
Te -1.331 1.386 2.770
Te -0.148 1.066 6.730
Te -4.034 7.759 12.962
Te -5.216 8.079 9.001
P -1.333 3.183 5.104
P -0.145 -0.731 4.396
P -4.032 5.962 10.628
P -5.220 9.876 11.336
CELL_PARAMETERS angstrom
-7.736 13.374 12.472
-1.489 -3.048 2.345
3.860 -1.182 0.915
```

Entry 6:
Computed, not measured: a relaxed structure of SbTeP2 at the PBE level of DFT. Values from VASP.

Calculated values
Calculated volume   24.3 Å³ per atom
Excess energy over the best structure of this formula in the dataset   0 meV per atom
VASP energy   -4.35 eV/atom
Space group   No. 99
Mass density   5.31 g/cm³
Spin magnetization   0.0000 μB per atom

Quantum ESPRESSO input file:
```
&SYSTEM
  ibrav = 0, nat = 4, ntyp = 3
/
ATOMIC_SPECIES
P 30.97 P.upf
Sb 121.76 Sb.upf
Te 127.60 Te.upf
ATOMIC_POSITIONS angstrom
P 0.000 0.000 1.240
P 1.685 1.685 0.883
Sb 0.000 0.000 3.788
Te 1.685 1.685 6.942
CELL_PARAMETERS angstrom
3.371 0.000 0.000
0.000 3.371 0.000
0.000 0.000 8.569
```

Entry 7:
Computed, not measured: a relaxed structure of SbTeP2 at the PBE level of DFT. Values from VASP.

Calculated values
Calculated volume   21.5 Å³ per atom
Excess energy over the best structure of this formula in the dataset   491 meV per atom
VASP energy   -3.86 eV/atom
Space group   No. 216
Mass density   6.01 g/cm³
Spin magnetization   0.0000 μB per atom

Quantum ESPRESSO input file:
```
&SYSTEM
  ibrav = 0, nat = 4, ntyp = 3
/
ATOMIC_SPECIES
P 30.97 P.upf
Sb 121.76 Sb.upf
Te 127.60 Te.upf
ATOMIC_POSITIONS angstrom
P 0.000 0.000 0.000
P 0.651 1.222 8.998
Sb 0.434 0.814 5.999
Te 0.217 0.407 2.999
CELL_PARAMETERS angstrom
-2.262 1.838 4.008
0.457 -2.289 4.371
2.673 2.079 3.618
```

Entry 8:
Computed, not measured: a relaxed structure of SbTeP2 at the PBE level of DFT. Values from VASP.

Calculated values
Calculated volume   23.4 Å³ per atom
Excess energy over the best structure of this formula in the dataset   438 meV per atom
VASP energy   -3.92 eV/atom
Space group   No. 71
Mass density   5.53 g/cm³
Spin magnetization   0.0000 μB per atom

Quantum ESPRESSO input file:
```
&SYSTEM
  ibrav = 0, nat = 4, ntyp = 3
/
ATOMIC_SPECIES
P 30.97 P.upf
Sb 121.76 Sb.upf
Te 127.60 Te.upf
ATOMIC_POSITIONS angstrom
P -5.526 -0.852 5.212
P -2.767 -0.427 2.609
Sb -0.250 2.256 2.907
Te -0.238 -1.400 2.323
CELL_PARAMETERS angstrom
-2.776 3.229 3.192
-2.752 -4.082 2.022
5.040 1.708 0.016
```